Record 1
! PBE LaPmBiI, optimized geometry; values from VASP
&SYSTEM
  ibrav = 0, nat = 4, ntyp = 4
/
ATOMIC_SPECIES
I 126.90 I.upf
La 138.91 La.upf
Bi 208.98 Bi.upf
Pm 145.00 Pm.upf
ATOMIC_POSITIONS crystal
I 0.250 0.250 0.250
La 0.500 0.500 0.500
Bi 0.750 0.750 0.750
Pm 0.000 0.000 0.000
CELL_PARAMETERS angstrom
5.609 0.000 0.000
2.804 4.857 0.000
2.804 1.619 4.580
! Raw formation energy in meV per atom: -913
! Space group: F-43m, No. 216



Record 2
! PBE NbPb2F, optimized geometry; values from VASP
&SYSTEM
  ibrav = 0, nat = 4, ntyp = 3
/
ATOMIC_SPECIES
Pb 207.20 Pb.upf
Nb 92.91 Nb.upf
F 19.00 F.upf
ATOMIC_POSITIONS crystal
Pb 0.250 0.250 0.250
Pb 0.750 0.750 0.750
Nb 0.500 0.500 0.500
F 0.000 0.000 0.000
CELL_PARAMETERS angstrom
0.000 3.529 3.529
3.529 0.000 3.529
3.529 3.529 0.000
! Raw formation energy in meV per atom: 37
! Space group: Fm-3m, No. 225
! Energy above the most stable polymorph in this dataset in meV per atom: 95.6



Record 3
! PBE Tb3Sb2Rh6, optimized geometry; values from VASP
&SYSTEM
  ibrav = 0, nat = 22, ntyp = 3
/
ATOMIC_SPECIES
Tb 158.93 Tb.upf
Sb 121.76 Sb.upf
Rh 102.91 Rh.upf
ATOMIC_POSITIONS crystal
Tb 0.713 0.000 0.713
Tb 0.287 0.000 0.287
Tb 0.000 0.287 0.287
Tb 0.000 0.713 0.713
Tb 0.287 0.287 0.000
Tb 0.713 0.713 0.000
Sb 0.000 0.500 0.000
Sb 0.500 0.000 0.000
Sb 0.000 0.000 0.500
Sb 0.500 0.500 0.500
Rh 0.650 0.301 0.650
Rh 0.650 0.000 0.350
Rh 0.350 0.000 0.650
Rh 0.350 0.699 0.350
Rh 0.000 0.650 0.350
Rh 0.699 0.350 0.350
Rh 0.301 0.650 0.650
Rh 0.000 0.350 0.650
Rh 0.350 0.650 0.000
Rh 0.650 0.650 0.301
Rh 0.350 0.350 0.699
Rh 0.650 0.350 0.000
CELL_PARAMETERS angstrom
7.746 0.000 -2.739
-3.873 6.708 -2.739
0.000 0.000 8.216
! Raw formation energy in meV per atom: -744
! Space group: Im-3m, No. 229



Record 4
! PBE CdIn3Au3, optimized geometry; values from VASP
&SYSTEM
  ibrav = 0, nat = 14, ntyp = 3
/
ATOMIC_SPECIES
Cd 112.41 Cd.upf
In 114.82 In.upf
Au 196.97 Au.upf
ATOMIC_POSITIONS crystal
Cd 0.765 0.765 0.993
Cd 0.235 0.235 0.007
In 0.606 0.606 0.344
In 0.203 0.797 0.500
In 0.797 0.203 0.500
In 0.247 0.753 0.000
In 0.753 0.247 0.000
In 0.394 0.394 0.656
Au 0.008 0.008 0.315
Au 0.861 0.544 0.735
Au 0.544 0.861 0.735
Au 0.139 0.456 0.265
Au 0.456 0.139 0.265
Au 0.992 0.992 0.685
CELL_PARAMETERS angstrom
-1.904 -0.957 7.000
5.074 -4.003 -3.432
4.892 5.537 1.656
! Formation enthalpy at 0 K in meV/atom: -123
! Space group: C2/m, No. 12
! Energy above the most stable polymorph in this dataset in meV per atom: 54.2



Record 5
! PBE Ac2In12Ag, optimized geometry; values from VASP
&SYSTEM
  ibrav = 0, nat = 30, ntyp = 3
/
ATOMIC_SPECIES
Ac 227.00 Ac.upf
In 114.82 In.upf
Ag 107.87 Ag.upf
ATOMIC_POSITIONS crystal
Ac 0.500 0.000 0.245
Ac 0.000 0.500 0.245
Ac 0.000 0.500 0.755
Ac 0.500 0.000 0.755
In 0.500 0.500 0.816
In 0.000 0.000 0.816
In 0.751 0.749 0.913
In 0.251 0.751 0.913
In 0.000 0.000 0.344
In 0.249 0.749 0.087
In 0.835 0.335 0.570
In 0.500 0.500 0.344
In 0.249 0.251 0.913
In 0.749 0.751 0.087
In 0.335 0.165 0.570
In 0.665 0.165 0.430
In 0.000 0.000 0.656
In 0.165 0.335 0.430
In 0.251 0.249 0.087
In 0.835 0.665 0.430
In 0.665 0.835 0.570
In 0.000 0.000 0.184
In 0.165 0.665 0.570
In 0.500 0.500 0.656
In 0.749 0.249 0.913
In 0.500 0.500 0.184
In 0.335 0.835 0.430
In 0.751 0.251 0.087
Ag 0.500 0.000 0.000
Ag 0.000 0.500 0.000
CELL_PARAMETERS angstrom
-4.695 -2.011 -4.754
5.160 -1.979 -4.259
-0.301 -15.898 7.022
! Formation enthalpy at 0 K in meV/atom: -207
! Space group: P4/nbm, No. 125



Record 6
! PBE BeSb2Au, optimized geometry; values from VASP
&SYSTEM
  ibrav = 0, nat = 4, ntyp = 3
/
ATOMIC_SPECIES
Sb 121.76 Sb.upf
Au 196.97 Au.upf
Be 9.01 Be.upf
ATOMIC_POSITIONS crystal
Sb 0.987 0.987 0.035
Sb 0.513 0.513 0.465
Au 0.750 0.750 0.750
Be 0.250 0.250 0.250
CELL_PARAMETERS angstrom
3.799 -0.003 0.000
1.888 3.297 0.000
1.908 1.105 6.664
! Raw formation energy in meV per atom: 179
! Space group: C2/m, No. 12



Short version: energy = -4.690; -4.803; -6.766; -2.832; -3.136; -3.633 eV per atom, in the order given.